No. 1
# PmInAu6 (PBE, relaxed)
data_PmInAu6
_chemical_formula_sum 'Pm1 In1 Au6'
_cell_length_a 5.043
_cell_length_b 5.917
_cell_length_c 5.387
_cell_angle_alpha 90.00
_cell_angle_beta 90.00
_cell_angle_gamma 90.00
_symmetry_space_group_name_H-M 'P m m 2'
_symmetry_Int_Tables_number 25
loop_
_symmetry_equiv_pos_as_xyz
'x,y,z'
'-x,-y,z'
'-x,y,z'
'x,-y,z'
loop_
_atom_site_label
_atom_site_type_symbol
_atom_site_fract_x
_atom_site_fract_y
_atom_site_fract_z
Pm1 Pm 0.000 0.000 0.000
In1 In 0.500 0.500 0.293
Au1 Au 0.000 0.259 0.494
Au2 Au 0.000 0.500 0.986
Au3 Au 0.500 0.000 0.339
Au4 Au 0.500 0.254 0.808
# * final energy: -3.7546 eV per atom
# * distance to the lowest polymorph of the same formula: 0.000 eV/atom

No. 2
# Sm8Tl2Ir3 (PBE, relaxed)
data_Sm8Tl2Ir3
_chemical_formula_sum 'Sm8 Tl2 Ir3'
_cell_length_a 9.030
_cell_length_b 5.025
_cell_length_c 9.040
_cell_angle_alpha 90.00
_cell_angle_beta 112.09
_cell_angle_gamma 90.00
_symmetry_space_group_name_H-M 'P 1 2/m 1'
_symmetry_Int_Tables_number 10
loop_
_symmetry_equiv_pos_as_xyz
'x,y,z'
'-x,-y,-z'
'-x,y,-z'
'x,-y,z'
loop_
_atom_site_label
_atom_site_type_symbol
_atom_site_fract_x
_atom_site_fract_y
_atom_site_fract_z
Sm1 Sm 0.110 0.000 0.389
Sm2 Sm 0.143 0.500 0.868
Sm3 Sm 0.367 0.500 0.643
Sm4 Sm 0.387 0.000 0.113
Tl1 Tl 0.243 0.500 0.258
Ir1 Ir 0.245 0.000 0.745
Ir2 Ir 0.500 0.500 0.000
# * final energy: -5.7322 eV per atom
# * distance to the lowest polymorph of the same formula: 0.000 eV/atom

No. 3
# Sm8Tm2Pb (PBE, relaxed)
data_Sm8Tm2Pb
_chemical_formula_sum 'Sm16 Tm4 Pb2'
_cell_length_a 17.530
_cell_length_b 5.407
_cell_length_c 8.323
_cell_angle_alpha 90.00
_cell_angle_beta 114.35
_cell_angle_gamma 90.00
_symmetry_space_group_name_H-M 'C 1 2/m 1'
_symmetry_Int_Tables_number 12
loop_
_symmetry_equiv_pos_as_xyz
'x,y,z'
'-x,-y,-z'
'-x,y,-z'
'x,-y,z'
'x+1/2,y+1/2,z'
'-x+1/2,-y+1/2,-z'
'-x+1/2,y+1/2,-z'
'x+1/2,-y+1/2,z'
loop_
_atom_site_label
_atom_site_type_symbol
_atom_site_fract_x
_atom_site_fract_y
_atom_site_fract_z
Sm1 Sm 0.020 0.000 0.234
Sm2 Sm 0.109 0.500 0.937
Sm3 Sm 0.163 0.000 0.710
Sm4 Sm 0.172 0.500 0.410
Tm1 Tm 0.198 0.000 0.149
Pb1 Pb 0.000 0.500 0.500
# * final energy: -4.6041 eV per atom

No. 4
# Ac5CdHg4 (PBE, relaxed)
data_Ac5CdHg4
_chemical_formula_sum 'Ac5 Cd1 Hg4'
_cell_length_a 4.060
_cell_length_b 4.060
_cell_length_c 20.303
_cell_angle_alpha 90.00
_cell_angle_beta 90.00
_cell_angle_gamma 90.00
_symmetry_space_group_name_H-M 'P 4/m m m'
_symmetry_Int_Tables_number 123
_symmetry_space_group_name_Hall '-P 4 2'
loop_
_atom_site_label
_atom_site_type_symbol
_atom_site_fract_x
_atom_site_fract_y
_atom_site_fract_z
Ac1 Ac 0.000 0.000 0.000
Ac2 Ac 0.000 0.000 0.199
Ac3 Ac 0.000 0.000 0.399
Cd1 Cd 0.500 0.500 0.500
Hg1 Hg 0.500 0.500 0.100
Hg2 Hg 0.500 0.500 0.300
# * final energy: -2.7047 eV per atom

No. 5
# La2MnSiN (PBE, relaxed)
data_La2MnSiN
_chemical_formula_sum 'La2 Mn1 Si1 N1'
_cell_length_a 5.180
_cell_length_b 5.180
_cell_length_c 3.938
_cell_angle_alpha 90.00
_cell_angle_beta 90.00
_cell_angle_gamma 90.00
_symmetry_space_group_name_H-M 'P 4/m m m'
_symmetry_Int_Tables_number 123
_symmetry_space_group_name_Hall '-P 4 2'
loop_
_atom_site_label
_atom_site_type_symbol
_atom_site_fract_x
_atom_site_fract_y
_atom_site_fract_z
La1 La 0.000 0.500 0.000
Mn1 Mn 0.000 0.000 0.500
Si1 Si 0.500 0.500 0.500
N1 N 0.000 0.000 0.000
# * final energy: -7.2080 eV per atom
# * uncorrected formation energy: -0.653 eV per atom
# * distance to the lowest polymorph of the same formula: 0.000 eV/atom

No. 6
# TmBeC (PBE, relaxed)
data_TmBeC
_chemical_formula_sum 'Tm2 Be2 C2'
_cell_length_a 3.2993
_cell_length_b 3.2993
_cell_length_c 7.4378
_cell_angle_alpha 90.00
_cell_angle_beta 90.00
_cell_angle_gamma 120.00
_symmetry_space_group_name_H-M 'P 63/m m c'
_symmetry_Int_Tables_number 194
_symmetry_space_group_name_Hall '-P 6c 2c'
loop_
_atom_site_label
_atom_site_type_symbol
_atom_site_fract_x
_atom_site_fract_y
_atom_site_fract_z
Tm1 Tm 0.0000 0.0000 0.0000
Be1 Be 0.3333 0.6667 0.2500
C1 C 0.3333 0.6667 0.7500
# * final energy: -6.1321 eV per atom
# * distance to the lowest polymorph of the same formula: 0.004 eV/atom